1.
An optimized crystal structure of PmNd12Sm2. Source: Alexandria via LeMat-Bulk, functional PBE.

abc: 6.8786 6.8786 25.1907
angles: 90.00 90.00 116.54
Closest atoms and distances in Å follow each position.
Sites, in units of the cell vectors:
Pm  0.2500  0.7500  0.9991  8 Nd 3.47-3.76, 2 Pm 3.62
Pm  0.7500  0.2500  0.0009  8 Nd 3.47-3.76, 2 Pm 3.62
Nd  0.0018  0.5018  0.8704  8 Nd 3.41-3.72, 2 Pm 3.71-3.76
Nd  0.0021  0.9979  0.0749  2 Pm 3.47-3.49, 9 Nd 3.62-3.77
Nd  0.0202  0.5202  0.4173  7 Nd 3.33-3.72
Nd  0.0242  0.9758  0.5599  5 Nd 3.07-3.41
Nd  0.2500  0.2500  0.1994  3 Nd 3.19-3.41
Nd  0.2500  0.2500  0.3259  3 Nd 3.19-3.41
Nd  0.2500  0.2500  0.6741  3 Nd 3.19-3.41
Nd  0.2500  0.2500  0.8006  3 Nd 3.19-3.41
Nd  0.4758  0.5242  0.5599  5 Nd 3.07-3.41
Nd  0.4798  0.9798  0.4173  7 Nd 3.33-3.72
Nd  0.4979  0.5021  0.0749  2 Pm 3.47-3.49, 9 Nd 3.62-3.77
Nd  0.4982  0.9982  0.8704  8 Nd 3.41-3.72, 2 Pm 3.71-3.76
Nd  0.5018  0.0018  0.1296  8 Nd 3.41-3.72, 2 Pm 3.71-3.76
Nd  0.5021  0.4979  0.9251  2 Pm 3.47-3.49, 9 Nd 3.62-3.77
Nd  0.5202  0.0202  0.5827  7 Nd 3.33-3.72
Nd  0.5242  0.4758  0.4401  5 Nd 3.07-3.41
Nd  0.7500  0.7500  0.1994  3 Nd 3.19-3.41
Nd  0.7500  0.7500  0.3259  3 Nd 3.19-3.41
Nd  0.7500  0.7500  0.6741  3 Nd 3.19-3.41
Nd  0.7500  0.7500  0.8006  3 Nd 3.19-3.41
Nd  0.9758  0.0242  0.4401  5 Nd 3.07-3.41
Nd  0.9798  0.4798  0.5827  7 Nd 3.33-3.72
Nd  0.9979  0.0021  0.9251  2 Pm 3.47-3.49, 9 Nd 3.62-3.77
Nd  0.9982  0.4982  0.1296  8 Nd 3.41-3.72, 2 Pm 3.71-3.76
Sm  0.2500  0.7500  0.2675  2 Sm 3.62, 10 Nd 3.74-3.92
Sm  0.2500  0.7500  0.7270  2 Sm 3.62, 10 Nd 3.69-4.03
Sm  0.7500  0.2500  0.2730  2 Sm 3.62, 10 Nd 3.69-4.03
Sm  0.7500  0.2500  0.7325  2 Sm 3.62, 10 Nd 3.74-3.92

Calculated values
Its space group is Cmme (67). The value obtained for the calculated volume is 533.2 Å³/f.u. The energy of formation comes out at 0.149 eV/atom.

***

2.
An optimized crystal structure of Pm5NdSm3. Source: Alexandria via LeMat-Bulk, functional PBE.

abc: 9.4666 9.4666 12.6282
angles: 127.05 127.05 52.38
Closest atoms and distances in Å follow each position.
Sites, in units of the cell vectors:
Pm  0.0160  0.4096  0.7750  3 Pm 3.29-3.66, 1 Sm 3.40
Pm  0.0574  0.0574  0.4214  6 Pm 3.42-3.83, 2 Sm 3.55-3.60
Pm  0.1357  0.1357  0.9435  5 Pm 3.22-3.56, 1 Nd 3.26
Pm  0.1832  0.8168  0.0000  1 Sm 2.65
Pm  0.4096  0.0160  0.7750  3 Pm 3.29-3.66, 1 Sm 3.40
Pm  0.5904  0.9840  0.2250  3 Pm 3.29-3.66, 1 Sm 3.40
Pm  0.8168  0.1832  0.0000  1 Sm 2.65
Pm  0.8643  0.8643  0.0565  5 Pm 3.22-3.56, 1 Nd 3.26
Pm  0.9426  0.9426  0.5786  6 Pm 3.42-3.83, 2 Sm 3.55-3.60
Pm  0.9840  0.5904  0.2250  3 Pm 3.29-3.66, 1 Sm 3.40
Nd  0.3911  0.3911  0.1310  2 Sm 3.21-3.42, 1 Pm 3.26
Nd  0.6089  0.6089  0.8690  2 Sm 3.21-3.42, 1 Pm 3.26
Sm  0.2023  0.2023  0.3065  1 Sm 3.27, 5 Pm 3.36-3.60
Sm  0.3383  0.3383  0.6503  2 Sm 3.27-3.28, 1 Nd 3.42, 1 Pm 3.55
Sm  0.5000  0.5000  0.0000  2 Pm 2.65
Sm  0.5000  0.5000  0.5000  2 Nd 3.68, 4 Pm 3.83, 2 Sm 3.87
Sm  0.6617  0.6617  0.3497  2 Sm 3.27-3.28, 1 Nd 3.42, 1 Pm 3.55
Sm  0.7977  0.7977  0.6935  1 Sm 3.27, 5 Pm 3.36-3.60

Calculated values
As for the energy above the most stable polymorph in this dataset: 225 meV/atom. Its space group is C2/m (12). The value obtained for the calculated volume is 332.2 Å³/f.u. The energy of formation comes out at 0.379 eV/atom.

***

3.
An optimized crystal structure of Pm3Nd5Sm. Source: Alexandria via LeMat-Bulk, functional PBE.

abc: 9.6328 9.6328 9.6515
angles: 103.69 103.69 50.81
Closest atoms and distances in Å follow each position.
Sites, in units of the cell vectors:
Pm  0.0000  0.0000  0.0000  2 Nd 2.68
Pm  0.0000  0.0000  0.5000  2 Sm 3.42, 4 Nd 3.61, 2 Pm 3.78
Pm  0.1515  0.1515  0.2822  1 Pm 3.26, 2 Nd 3.63
Pm  0.3114  0.3114  0.7336  6 Nd 3.41-3.60, 1 Sm 3.62
Pm  0.6886  0.6886  0.2664  6 Nd 3.41-3.60, 1 Sm 3.62
Pm  0.8485  0.8485  0.7178  1 Pm 3.26, 2 Nd 3.63
Nd  0.1258  0.5505  0.4244  5 Nd 3.51-3.78, 5 Pm 3.56-3.67, 1 Sm 3.64
Nd  0.3088  0.3088  0.0859  2 Pm 3.41-3.72, 1 Sm 3.44, 3 Nd 3.49-3.62
Nd  0.3237  0.6763  0.0000  1 Pm 2.68, 1 Nd 2.91
Nd  0.4495  0.8742  0.5756  5 Nd 3.51-3.78, 5 Pm 3.56-3.67, 1 Sm 3.64
Nd  0.4973  0.4973  0.3263  8 Nd 3.33-3.67, 1 Pm 3.53
Nd  0.5027  0.5027  0.6737  8 Nd 3.33-3.67, 1 Pm 3.53
Nd  0.5505  0.1258  0.4244  5 Nd 3.51-3.78, 5 Pm 3.56-3.67, 1 Sm 3.64
Nd  0.6763  0.3237  0.0000  1 Pm 2.68, 1 Nd 2.91
Nd  0.6912  0.6912  0.9141  2 Pm 3.41-3.72, 1 Sm 3.44, 3 Nd 3.49-3.62
Nd  0.8742  0.4495  0.5756  5 Nd 3.51-3.78, 5 Pm 3.56-3.67, 1 Sm 3.64
Sm  0.1264  0.1264  0.8382  1 Pm 3.01
Sm  0.8736  0.8736  0.1618  1 Pm 3.01

Calculated values
As for the energy above the most stable polymorph in this dataset: 121 meV/atom. Its space group is C2/m (12). The value obtained for the calculated volume is 334.9 Å³/f.u. The energy of formation comes out at 0.383 eV/atom.

***

Look up the energy of formation of the third one.
0.383 eV/atom

***

Which of these has the highest calculated volume?
PmNd12Sm2

***

The lowest calculated volume belongs to which entry?
Pm5NdSm3

***

Which of these has the highest calculated volume?
PmNd12Sm2